No. 1
TiHgSb3 after structural relaxation. Source: Alexandria, functional PBE.

Values from the calculation:
Excess energy over the best structure of this formula in the dataset   0.00 eV/f.u.
Volume   29.46 A^3/atom
Formation energy (no corrections)   0.53 eV/f.u.
Crystal system   cubic

Unit cell a=5.2812 b=5.2812 c=5.2812 alpha=90.00 beta=90.00 gamma=90.00
Space group Pm-3m (No. 221)
Asymmetric unit:
Ti (0.0000, 0.0000, 0.0000) (multiplicity 1)
Hg (0.5000, 0.5000, 0.5000) (multiplicity 1)
Sb (0.0000, 0.0000, 0.5000) (multiplicity 3)

No. 2
ScTcRh2 after structural relaxation. Source: Alexandria, functional PBE.

Values from the calculation:
Formation energy from the elements   -0.11 eV per atom
Excess energy over the best structure of this formula in the dataset   1.12 eV/f.u.
Volume   15.56 A^3/atom
Crystal system   trigonal

Unit cell a=2.8617 b=2.8617 c=26.3283 alpha=90.00 beta=90.00 gamma=120.00
Space group R-3m (No. 166, hexagonal axes)
Asymmetric unit:
Sc (0.0000, 0.0000, 0.0000) (multiplicity 3)
Tc (0.0000, 0.0000, 0.5000) (multiplicity 3)
Rh (0.0000, 0.0000, 0.2491) (multiplicity 6)

No. 3
Lu3MgN after structural relaxation. Source: Alexandria, functional PBE.

Values from the calculation:
Volume   21.38 A^3/atom
Formation energy (no corrections)   -3.68 eV/f.u.
Crystal system   cubic

Unit cell a=4.7462 b=4.7462 c=4.7462 alpha=90.00 beta=90.00 gamma=90.00
Space group Pm-3m (No. 221)
Asymmetric unit:
Lu (0.0000, 0.0000, 0.5000) (multiplicity 3)
Mg (0.5000, 0.5000, 0.5000) (multiplicity 1)
N (0.0000, 0.0000, 0.0000) (multiplicity 1)

No. 4
LiZn2Ga2 after structural relaxation. Source: Alexandria, functional PBE.

Values from the calculation:
Formation energy from the elements   -0.04 eV per atom
Excess energy over the best structure of this formula in the dataset   0.32 eV/f.u.
Volume   17.61 A^3/atom
Crystal system   tetragonal

Unit cell a=7.5099 b=7.5099 c=3.1232 alpha=90.00 beta=90.00 gamma=90.00
Space group P4/mbm (No. 127)
Asymmetric unit:
Li (0.0000, 0.0000, 0.0000) (multiplicity 2)
Zn (0.1689, 0.3311, 0.5000) (multiplicity 4)
Ga (0.1317, 0.6317, 0.0000) (multiplicity 4)

No. 5
Pm14PrTh after structural relaxation. Source: Alexandria, functional PBE.

Values from the calculation:
Formation energy from the elements   0.02 eV per atom
Volume   34.44 A^3/atom
Crystal system   tetragonal

Unit cell a=7.2977 b=7.2977 c=10.3457 alpha=90.00 beta=90.00 gamma=90.00
Space group P4/mmm (No. 123)
Asymmetric unit:
Pm (0.0000, 0.0000, 0.0000) (multiplicity 1)
Pm (0.0000, 0.5000, 0.0000) (multiplicity 2)
Pm (0.0000, 0.5000, 0.5000) (multiplicity 2)
Pm (0.2467, 0.2467, 0.2514) (multiplicity 8)
Pm (0.5000, 0.5000, 0.0000) (multiplicity 1)
Pr (0.5000, 0.5000, 0.5000) (multiplicity 1)
Th (0.0000, 0.0000, 0.5000) (multiplicity 1)

No. 6
LaReSb2I after structural relaxation. Source: Alexandria, functional PBE.

Values from the calculation:
Excess energy over the best structure of this formula in the dataset   0.00 eV/f.u.
Volume   30.22 A^3/atom
Formation energy (no corrections)   0.92 eV/f.u.
Crystal system   tetragonal

Unit cell a=5.1538 b=5.1538 c=5.6885 alpha=90.00 beta=90.00 gamma=90.00
Space group P4/mmm (No. 123)
Asymmetric unit:
La (0.0000, 0.0000, 0.0000) (multiplicity 1)
Re (0.5000, 0.5000, 0.5000) (multiplicity 1)
Sb (0.0000, 0.5000, 0.5000) (multiplicity 2)
I (0.5000, 0.5000, 0.0000) (multiplicity 1)

No. 7
MgGaBr5 after structural relaxation. Source: Alexandria, functional PBE.

Values from the calculation:
Volume   33.71 A^3/atom
Formation energy (no corrections)   -7.20 eV/f.u.
Crystal system   monoclinic

Unit cell a=10.3592 b=10.4688 c=9.8810 alpha=90.00 beta=118.27 gamma=90.00
Space group C2/c (No. 15)
Asymmetric unit:
Mg (0.0000, 0.0000, 0.0000) (multiplicity 4)
Ga (0.0000, 0.3789, 0.2500) (multiplicity 4)
Br (0.0000, 0.0753, 0.7500) (multiplicity 4)
Br (0.0104, 0.2630, 0.4607) (multiplicity 8)
Br (0.1969, 0.4707, 0.8441) (multiplicity 8)

No. 8
Y7SnI12 after structural relaxation. Source: Alexandria, functional PBE.

Values from the calculation:
Volume   38.13 A^3/atom
Formation energy (no corrections)   -24.05 eV/f.u.
Crystal system   trigonal

Unit cell a=15.8867 b=15.8867 c=10.4662 alpha=90.00 beta=90.00 gamma=120.00
Space group R-3 (No. 148, hexagonal axes)
Asymmetric unit:
Y (0.0000, 0.0000, 0.0000) (multiplicity 3)
Y (0.0488, 0.8801, 0.3417) (multiplicity 18)
Sn (0.0000, 0.0000, 0.5000) (multiplicity 3)
I (0.0229, 0.4358, 0.1656) (multiplicity 18)
I (0.0522, 0.8694, 0.8391) (multiplicity 18)

No. 9
CaReI3 after structural relaxation. Source: Alexandria, functional PBE.

Values from the calculation:
Excess energy over the best structure of this formula in the dataset   0.00 eV/f.u.
Volume   33.26 A^3/atom
Formation energy (no corrections)   1.39 eV/f.u.
Crystal system   cubic

Unit cell a=5.4991 b=5.4991 c=5.4991 alpha=90.00 beta=90.00 gamma=90.00
Space group Pm-3m (No. 221)
Asymmetric unit:
Ca (0.0000, 0.0000, 0.0000) (multiplicity 1)
Re (0.5000, 0.5000, 0.5000) (multiplicity 1)
I (0.0000, 0.5000, 0.5000) (multiplicity 3)

No. 10
NaHoIn4 after structural relaxation. Source: Alexandria, functional PBE.

Values from the calculation:
Formation energy from the elements   -0.23 eV per atom
Excess energy over the best structure of this formula in the dataset   0.00 eV/f.u.
Volume   25.84 A^3/atom
Crystal system   monoclinic

Unit cell a=3.4203 b=5.0549 c=8.9678 alpha=90.00 beta=90.03 gamma=90.00
Space group P2/m (No. 10)
Asymmetric unit:
Na (0.0000, 0.0000, 0.0000) (multiplicity 1)
Ho (0.0000, 0.5000, 0.5000) (multiplicity 1)
In (0.4984, 0.5000, 0.1672) (multiplicity 2)
In (0.4990, 0.0000, 0.6631) (multiplicity 2)

No. 11
ZrFeRe2Ag after structural relaxation. Source: Alexandria, functional PBE.

Values from the calculation:
Formation energy from the elements   2.77 eV per atom
Volume   22.13 A^3/atom
Crystal system   tetragonal

Unit cell a=4.7598 b=4.7598 c=4.8836 alpha=90.00 beta=90.00 gamma=90.00
Space group P4/mmm (No. 123)
Asymmetric unit:
Zr (0.0000, 0.0000, 0.0000) (multiplicity 1)
Fe (0.5000, 0.5000, 0.0000) (multiplicity 1)
Re (0.0000, 0.5000, 0.5000) (multiplicity 2)
Ag (0.0000, 0.0000, 0.5000) (multiplicity 1)

No. 12
Ce3PmSm2Se6 after structural relaxation. Source: Alexandria, functional PBE.

Values from the calculation:
Volume   26.06 A^3/atom
Formation energy (no corrections)   -21.97 eV/f.u.
Crystal system   monoclinic

Unit cell a=7.2434 b=12.5569 c=7.2884 alpha=90.00 beta=109.39 gamma=90.00
Space group C2/m (No. 12)
Asymmetric unit:
Ce (0.0000, 0.0000, 0.0000) (multiplicity 2)
Ce (0.0000, 0.3339, 0.0000) (multiplicity 4)
Pm (0.0000, 0.5000, 0.5000) (multiplicity 2)
Sm (0.0000, 0.1667, 0.5000) (multiplicity 4)
Se (0.2478, 0.0000, 0.7472) (multiplicity 4)
Se (0.2501, 0.1673, 0.2522) (multiplicity 8)